1.
{
  "formula": "Tb2PmZrN4",
  "functional": "GGA-PBE",
  "state": "relaxed",
  "raw_formation_energy_mev_per_atom": -1614,
  "density_g_cm3": 8.67,
  "space_group": "P2/m",
  "cell": [[5.9761, 0.0000, 0.0000], [0.0000, 3.4512, 0.0000], [-1.9766, 0.0000, 5.6686]],
  "species": ["Tb", "Tb", "Pm", "Zr", "N", "N", "N", "N"],
  "fractional_positions": [[0.0000, 0.0000, 0.0000], [0.0000, 0.5000, 0.5000], [0.5000, 0.0000, 0.5000], [0.5000, 0.5000, 0.0000], [0.2543, 0.5000, 0.2346], [0.2616, 0.0000, 0.7670], [0.7384, 0.0000, 0.2330], [0.7457, 0.5000, 0.7654]]
}

2.
{
  "formula": "SmGaPd6",
  "functional": "GGA-PBE",
  "state": "relaxed",
  "density_g_cm3": 10.71,
  "space_group": "P4/mmm",
  "e_above_lowest_polymorph_mev_per_atom": 0,
  "cell": [[4.0991, 0.0000, 0.0000], [0.0000, 4.0991, 0.0000], [0.0000, 0.0000, 7.9259]],
  "species": ["Sm", "Ga", "Pd", "Pd", "Pd", "Pd", "Pd", "Pd"],
  "fractional_positions": [[0.0000, 0.0000, 0.0000], [0.0000, 0.0000, 0.5000], [0.0000, 0.5000, 0.2705], [0.0000, 0.5000, 0.7295], [0.5000, 0.0000, 0.2705], [0.5000, 0.0000, 0.7295], [0.5000, 0.5000, 0.0000], [0.5000, 0.5000, 0.5000]]
}